No. 1
Below is a relaxed TaGeRu3 crystal, with properties calculated at the PBE-GGA level.

Output
Fermi-level density of states	4.2	states/eV/cell
final energy	-8.0227	eV/atom
space group	Pm-3m, No. 221

```
TaGeRu3
1.0
4.4894 0.0000 0.0000
0.0000 4.4894 0.0000
0.0000 0.0000 4.4894
Ru Ta Ge
3 1 1
Direct
0.0000 0.0000 0.5000
0.5000 0.0000 0.0000
0.0000 0.5000 0.0000
0.5000 0.5000 0.5000
0.0000 0.0000 0.0000
```

---

No. 2
Below is a relaxed KHf2NbZn crystal, with properties calculated at the PBE-GGA level.

Output
Fermi-level density of states	6.1	states/eV/cell
final energy	-5.1402	eV/atom
space group	P4/mmm, No. 123

```
KHf2NbZn
1.0
5.0814 0.0000 0.0000
0.0000 6.1952 0.0000
0.0000 0.0000 5.0814
K Hf Zn Nb
1 2 1 1
Direct
0.0000 0.5000 0.0000
0.0000 0.0000 0.5000
0.5000 0.0000 0.0000
0.5000 0.5000 0.5000
0.0000 0.0000 0.0000
```

---

No. 3
Below is a relaxed Sr2CoMo crystal, with properties calculated at the PBE-GGA level.

Output
Fermi-level density of states	5.3	states/eV/cell
final energy	-4.7848	eV/atom
space group	P4mm, No. 99

```
Sr2CoMo
1.0
3.3663 0.0000 0.0000
0.0000 3.3693 0.0000
0.0000 0.0000 9.3317
Mo Sr Co
1 2 1
Direct
0.5000 0.5000 0.6591
0.5000 0.5000 0.3266
0.0000 0.0000 0.9312
0.0000 0.0000 0.5830
```

---

No. 4
Below is a relaxed DyHo2Be crystal, with properties calculated at the PBE-GGA level.

Output
Fermi-level density of states	3.8	states/eV/cell
final energy	-3.6886	eV/atom
space group	R-3m, No. 166

```
DyHo2Be
1.0
-0.9882 2.6705 1.8794
-2.8558 1.6863 -0.8009
-7.2554 -5.4792 7.0674
Be Ho Dy
1 2 1
Direct
0.0000 0.0000 0.0000
0.0843 0.0843 0.7471
0.9157 0.9157 0.2529
0.5000 0.5000 0.5000
```

---

> Which formula does entry 1 have?

TaGeRu3